<w>
The following is a DFT calculation (PBE-GGA) of crystalline Ac2Ag3Hg3O12 at its relaxed geometry.

Cell: 11.6802 11.6802 11.6802 Å, 109.47 109.47 109.47°
Element x y z (fractional)
Hg  0.6250  0.8750  0.2500
Hg  0.2500  0.1250  0.3750
Hg  0.3750  0.7500  0.6250
Hg  0.8750  0.6250  0.7500
Hg  0.6250  0.2500  0.3750
Hg  0.1250  0.2500  0.8750
Hg  0.7500  0.3750  0.1250
Hg  0.8750  0.7500  0.1250
Hg  0.3750  0.1250  0.7500
Hg  0.7500  0.8750  0.6250
Hg  0.2500  0.6250  0.8750
Hg  0.1250  0.3750  0.2500
O  0.2551  0.9357  0.3686
O  0.6135  0.4329  0.3686
O  0.6806  0.6135  0.7449
O  0.3686  0.7551  0.4357
O  0.9357  0.2551  0.8686
O  0.8194  0.0643  0.4329
O  0.8686  0.9329  0.1135
O  0.0671  0.1314  0.3865
O  0.8686  0.4357  0.7551
O  0.1314  0.5643  0.2449
O  0.1314  0.0671  0.8865
O  0.3865  0.3194  0.7551
O  0.5671  0.3865  0.1314
O  0.1806  0.9357  0.5671
O  0.6135  0.6806  0.2449
O  0.7551  0.3686  0.9357
O  0.1806  0.7449  0.6135
O  0.5643  0.9329  0.8194
O  0.3865  0.5671  0.6314
O  0.5671  0.6806  0.4357
O  0.2449  0.6314  0.0643
O  0.3194  0.3865  0.2551
O  0.0671  0.4357  0.6806
O  0.8865  0.6314  0.5671
O  0.9329  0.8686  0.6135
O  0.2449  0.1135  0.1806
O  0.4357  0.0671  0.1806
O  0.6806  0.5671  0.9357
O  0.3686  0.1135  0.9329
O  0.4329  0.3194  0.5643
O  0.7551  0.8865  0.8194
O  0.6314  0.8865  0.0671
O  0.5643  0.1314  0.7449
O  0.4329  0.6135  0.8686
O  0.4357  0.8686  0.2551
O  0.9357  0.1806  0.0671
O  0.1135  0.3686  0.4329
O  0.8194  0.2551  0.3865
O  0.2551  0.8194  0.8865
O  0.0643  0.7449  0.1314
O  0.3194  0.4329  0.0643
O  0.1135  0.2449  0.6806
O  0.8865  0.7551  0.3194
O  0.6314  0.2449  0.5643
O  0.7449  0.0643  0.6314
O  0.0643  0.8194  0.9329
O  0.9329  0.5643  0.3194
O  0.7449  0.1806  0.1135
Ag  0.7500  0.1250  0.8750
Ag  0.2500  0.8750  0.1250
Ag  0.2500  0.3750  0.6250
Ag  0.3750  0.6250  0.2500
Ag  0.1250  0.8750  0.7500
Ag  0.8750  0.2500  0.6250
Ag  0.7500  0.6250  0.3750
Ag  0.8750  0.1250  0.2500
Ag  0.3750  0.2500  0.1250
Ag  0.6250  0.3750  0.7500
Ag  0.6250  0.7500  0.8750
Ag  0.1250  0.7500  0.3750
Ac  0.5000  0.5000  0.5000
Ac  0.5000  0.5000  0.0000
Ac  0.0000  0.0000  0.5000
Ac  0.0000  0.5000  0.0000
Ac  0.5000  0.0000  0.0000
Ac  0.0000  0.0000  0.0000
Ac  0.0000  0.5000  0.5000
Ac  0.5000  0.0000  0.5000

Properties
* M_tot: 0.1 μB/f.u.
* space group: Ia-3d


<x>
The following is a DFT calculation (PBE-GGA) of crystalline Ac2Ag3Hg3O12 at its relaxed geometry.

Cell: 11.9405 11.9405 11.9405 Å, 109.47 109.47 109.47°
Element x y z (fractional)
Ac  0.5000  0.0000  0.5000
Ac  0.0000  0.5000  0.5000
Ac  0.0000  0.0000  0.0000
Ac  0.5000  0.0000  0.0000
Ac  0.0000  0.5000  0.0000
Ac  0.0000  0.0000  0.5000
Ac  0.5000  0.5000  0.0000
Ac  0.5000  0.5000  0.5000
O  0.3473  0.0648  0.8825
O  0.9352  0.7825  0.3177
O  0.4648  0.8473  0.2825
O  0.4352  0.6175  0.6527
O  0.1823  0.9648  0.6175
O  0.1527  0.5352  0.2175
O  0.8177  0.2825  0.4352
O  0.2825  0.8177  0.9352
O  0.1823  0.7175  0.5648
O  0.2825  0.9648  0.3473
O  0.1175  0.4648  0.6823
O  0.7825  0.9352  0.8177
O  0.7175  0.1823  0.0648
O  0.8473  0.8825  0.0648
O  0.9648  0.2825  0.8473
O  0.9648  0.1823  0.1175
O  0.7175  0.0352  0.6527
O  0.0352  0.8177  0.8825
O  0.9352  0.6527  0.6175
O  0.4648  0.1175  0.1823
O  0.1527  0.1175  0.9352
O  0.2175  0.0648  0.1823
O  0.0648  0.2175  0.6823
O  0.0648  0.3473  0.3825
O  0.3825  0.5648  0.8473
O  0.7825  0.3473  0.9648
O  0.6823  0.6175  0.9648
O  0.5648  0.3825  0.3473
O  0.5352  0.1527  0.7175
O  0.8473  0.4648  0.7825
O  0.6175  0.4352  0.1527
O  0.3177  0.3825  0.0352
O  0.3825  0.3177  0.5352
O  0.8825  0.8473  0.5648
O  0.5648  0.6823  0.2175
O  0.6527  0.2175  0.5352
O  0.8825  0.5352  0.3177
O  0.2175  0.6527  0.0352
O  0.5352  0.8825  0.8177
O  0.3177  0.4352  0.2825
O  0.6823  0.5648  0.7175
O  0.6175  0.6823  0.4648
O  0.6527  0.9352  0.1175
O  0.4352  0.3177  0.7825
O  0.3473  0.7825  0.4648
O  0.0352  0.7175  0.1527
O  0.8177  0.0352  0.3825
O  0.1175  0.1527  0.4352
Hg  0.2500  0.8750  0.1250
Hg  0.8750  0.2500  0.6250
Hg  0.1250  0.7500  0.3750
Hg  0.3750  0.6250  0.2500
Hg  0.3750  0.2500  0.1250
Hg  0.2500  0.3750  0.6250
Hg  0.6250  0.3750  0.7500
Hg  0.7500  0.1250  0.8750
Hg  0.8750  0.1250  0.2500
Hg  0.6250  0.7500  0.8750
Hg  0.1250  0.8750  0.7500
Hg  0.7500  0.6250  0.3750
Ag  0.8750  0.7500  0.1250
Ag  0.2500  0.6250  0.8750
Ag  0.7500  0.3750  0.1250
Ag  0.1250  0.3750  0.2500
Ag  0.8750  0.6250  0.7500
Ag  0.6250  0.8750  0.2500
Ag  0.3750  0.7500  0.6250
Ag  0.3750  0.1250  0.7500
Ag  0.1250  0.2500  0.8750
Ag  0.7500  0.8750  0.6250
Ag  0.2500  0.1250  0.3750
Ag  0.6250  0.2500  0.3750

Properties
* M_tot: 1.9 μB/f.u.
* space group: Ia-3d


Which structure is the least stable? The one labeled <w>.


<w>
The following is a DFT calculation (PBE-GGA) of crystalline AcAgIr at its relaxed geometry.

Cell: 4.8023 4.8023 4.8023 Å, 60.00 60.00 60.00°
Element x y z (fractional)
Ag  0.0000  0.0000  0.0000
Ac  0.2500  0.2500  0.2500
Ir  0.7500  0.7500  0.7500

Properties
* M_tot: 0.0 μB/f.u.
* space group: F-43m


<x>
The following is a DFT calculation (PBE-GGA) of crystalline AcAgIr at its relaxed geometry.

Cell: 4.9530 4.9530 4.9530 Å, 60.00 60.00 60.00°
Element x y z (fractional)
Ir  0.7500  0.7500  0.7500
Ag  0.2500  0.2500  0.2500
Ac  0.0000  0.0000  0.0000

Properties
* M_tot: 0.0 μB/f.u.
* space group: F-43m


Which structure is the least stable? The one labeled <x>.


<w>
The following is a DFT calculation (PBE-GGA) of crystalline AcAgNO at its relaxed geometry.

Cell: 4.0301 5.8647 5.6470 Å, 90.00 90.00 90.00°
Element x y z (fractional)
Ac  0.0000  0.0201  0.8109
Ac  0.0000  0.5201  0.1891
N  0.0000  0.9345  0.3492
N  0.0000  0.4345  0.6508
Ag  0.5000  0.0072  0.3377
Ag  0.5000  0.5072  0.6623
O  0.5000  0.2922  0.0579
O  0.5000  0.7922  0.9421

Properties
* M_tot: 0.9 μB/f.u.
* space group: Pmc2_1


<x>
The following is a DFT calculation (PBE-GGA) of crystalline AcAgNO at its relaxed geometry.

Cell: 4.0511 4.0511 8.3118 Å, 90.00 90.00 90.00°
Element x y z (fractional)
Ac  0.2500  0.2500  0.1621
Ac  0.7500  0.7500  0.8379
O  0.7500  0.2500  0.0000
O  0.2500  0.7500  0.0000
Ag  0.2500  0.7500  0.5000
Ag  0.7500  0.2500  0.5000
N  0.7500  0.7500  0.3497
N  0.2500  0.2500  0.6503

Properties
* M_tot: 1.0 μB/f.u.
* space group: P4/nmm


<y>
The following is a DFT calculation (PBE-GGA) of crystalline AcAgNO at its relaxed geometry.

Cell: 5.3004 5.3004 4.7874 Å, 90.00 90.00 90.00°
Element x y z (fractional)
Ag  0.7500  0.7500  0.0011
Ag  0.2500  0.2500  0.9989
Ac  0.7500  0.2500  0.5000
Ac  0.2500  0.7500  0.5000
N  0.7500  0.7500  0.5019
N  0.2500  0.2500  0.4981
O  0.2500  0.7500  0.0000
O  0.7500  0.2500  0.0000

Properties
* M_tot: 0.0 μB/f.u.
* space group: P4/nmm


Which structure is the least stable? The one labeled <y>.